No. 1
Computed, not measured: a PBEsol-optimized structure of SrCo2Hg at the meta-GGA SCAN level of DFT.

calculated total energy	-31.04	eV per atom
crystal system	tetragonal
M_tot	3.35	Bohr magnetons per cell
space-group type	P4mm (99)
ΔE_f	21.09	kJ per mole of atoms

Lattice parameters (Å, degrees): 3.154 3.154 7.331 90.00 90.00 90.00
Last column: magnetic moment on the atom in μB.
Fractional coordinates of all 4 atoms:
Hg 0.000 0.000 0.445  -0.03
Co 0.000 0.000 0.082  1.80
Co 0.500 0.500 0.196  1.91
Sr 0.500 0.500 0.777  -0.10

No. 2
Computed, not measured: a PBEsol-optimized structure of SrCo2Hg at the meta-GGA SCAN level of DFT.

calculated total energy	-30.44	eV per atom
crystal system	trigonal
M_tot	3.49	Bohr magnetons per cell
space-group type	R-3m (166)
ΔE_f	79.44	kJ per mole of atoms

Lattice parameters (Å, degrees): 3.172 3.172 8.741 79.55 79.55 60.00
Last column: magnetic moment on the atom in μB.
Fractional coordinates of all 4 atoms:
Hg 0.500 0.500 0.500  -0.02
Co 0.242 0.242 0.275  1.85
Co 0.758 0.758 0.725  1.85
Sr 0.000 0.000 0.000  -0.08

No. 3
Computed, not measured: a PBEsol-optimized structure of SrCo2Hg at the meta-GGA SCAN level of DFT.

calculated total energy	-30.58	eV per atom
crystal system	monoclinic
M_tot	3.42	Bohr magnetons per cell
space-group type	C2/m (12)
ΔE_f	66.06	kJ per mole of atoms

Lattice parameters (Å, degrees): 2.925 5.308 5.308 111.43 102.79 102.79
Last column: magnetic moment on the atom in μB.
Fractional coordinates of all 4 atoms:
Hg 0.500 0.500 0.500  -0.02
Sr 0.500 0.000 0.000  -0.07
Co 0.000 0.500 0.000  1.79
Co 0.000 0.000 0.500  1.79

Q: Look up the M_tot of the third one.
A: 3.42 Bohr magnetons per cell

Q: Which value of M_tot does entry 2 give?
A: 3.49 Bohr magnetons per cell

Q: Which value of calculated total energy does entry 3 give?
A: -30.58 eV per atom